The following is a DFT calculation (PBE) of TiGeTe3 after structural relaxation.

Mass density = 5.53 g/cm3
D(E_F) = 1.1966 states/eV/atom
Formation energy without anion corrections = 0.156 eV/atom
Total magnetic moment = 0.000 μB per cell

The structure in CIF format:
```
data_TiGeTe3
_chemical_formula_sum 'Ti1 Ge1 Te3'
_cell_length_a 5.325
_cell_length_b 5.325
_cell_length_c 5.325
_cell_angle_alpha 90.00
_cell_angle_beta 90.00
_cell_angle_gamma 90.00
_symmetry_space_group_name_H-M 'P m -3 m'
_symmetry_Int_Tables_number 221
_symmetry_space_group_name_Hall '-P 4 2 3'
loop_
_atom_site_label
_atom_site_type_symbol
_atom_site_fract_x
_atom_site_fract_y
_atom_site_fract_z
Ti1 Ti 0.000 0.000 0.000
Ge1 Ge 0.500 0.500 0.500
Te1 Te 0.000 0.000 0.500
```